[1]
{"formula": "Ti2MnO4", "functional": "PBEsol", "state": "relaxed", "cell": [[0.0000, 4.2339, 4.2339], [4.2339, 0.0000, 4.2339], [4.2339, 4.2339, 0.0000]], "species": ["Ti", "Ti", "Ti", "Ti", "Mn", "Mn", "O", "O", "O", "O", "O", "O", "O", "O"], "frac_coords": [[0.0000, 0.0000, 0.0000], [0.0000, 0.0000, 0.5000], [0.0000, 0.5000, 0.0000], [0.5000, 0.0000, 0.0000], [0.3750, 0.3750, 0.3750], [0.6250, 0.6250, 0.6250], [0.2214, 0.7595, 0.7595], [0.2405, 0.2405, 0.2405], [0.2405, 0.2405, 0.7786], [0.2405, 0.7786, 0.2405], [0.7595, 0.2214, 0.7595], [0.7595, 0.7595, 0.2214], [0.7595, 0.7595, 0.7595], [0.7786, 0.2405, 0.2405]], "mass_density_g_cm3": 4.70, "energy_ev_per_atom": -9.24}

***

[2]
{"formula": "TiMn5O12", "functional": "PBEsol", "state": "relaxed", "cell": [[2.4781, -4.2971, 0.0000], [2.4781, 4.2971, 0.0000], [-0.0022, 0.0000, 9.6852]], "species": ["Ti", "Mn", "Mn", "Mn", "Mn", "Mn", "O", "O", "O", "O", "O", "O", "O", "O", "O", "O", "O", "O"], "frac_coords": [[0.0000, 0.0000, 0.0000], [0.1667, 0.8333, 0.5000], [0.3333, 0.6667, 0.0000], [0.5000, 0.5000, 0.5000], [0.6667, 0.3333, 0.0000], [0.8333, 0.1667, 0.5000], [0.0000, 0.3425, 0.1002], [0.0000, 0.6575, 0.8998], [0.1664, 0.1664, 0.4027], [0.1668, 0.5000, 0.5971], [0.3425, 0.0000, 0.1002], [0.3426, 0.3426, 0.8998], [0.5000, 0.1668, 0.5971], [0.5000, 0.8332, 0.4029], [0.6574, 0.6574, 0.1002], [0.6575, 0.0000, 0.8998], [0.8332, 0.5000, 0.4029], [0.8336, 0.8336, 0.5973]], "mass_density_g_cm3": 4.14, "energy_ev_per_atom": -8.47}

***

[3]
{"formula": "TiMnO4", "functional": "PBEsol", "state": "relaxed", "cell": [[-1.8604, 1.8604, 4.6889], [1.8604, -1.8604, 4.6889], [1.8604, 1.8604, -4.6889]], "species": ["Ti", "Mn", "O", "O", "O", "O"], "frac_coords": [[0.0000, 0.0000, 0.0000], [0.7500, 0.2500, 0.5000], [0.2116, 0.2116, 0.0000], [0.5499, 0.0499, 0.5000], [0.7884, 0.7884, 0.0000], [0.9501, 0.4501, 0.5000]], "mass_density_g_cm3": 4.27, "energy_ev_per_atom": -8.81}

***

[4]
{"formula": "TiMnV4O12", "functional": "PBEsol", "state": "relaxed", "cell": [[4.9901, -4.5065, 0.0000], [4.9901, 4.5065, 0.0000], [-1.9702, 0.0000, 5.3570]], "species": ["Ti", "Mn", "V", "V", "V", "V", "O", "O", "O", "O", "O", "O", "O", "O", "O", "O", "O", "O"], "frac_coords": [[0.0000, 0.0000, 0.0000], [0.1779, 0.8221, 0.5000], [0.2931, 0.2991, 0.4963], [0.4778, 0.1150, 0.0007], [0.7009, 0.7069, 0.5037], [0.8850, 0.5222, 0.9993], [0.0526, 0.7248, 0.1080], [0.1267, 0.0927, 0.3688], [0.1693, 0.5297, 0.5060], [0.2752, 0.9474, 0.8920], [0.4313, 0.2808, 0.7972], [0.4655, 0.2599, 0.2998], [0.4703, 0.8307, 0.4940], [0.7192, 0.5687, 0.2028], [0.7233, 0.0038, 0.0191], [0.7401, 0.5345, 0.7002], [0.9073, 0.8733, 0.6312], [0.9962, 0.2767, 0.9809]], "mass_density_g_cm3": 3.44, "energy_ev_per_atom": -8.97}

***

[5]
{"formula": "MnTlO3", "functional": "PBEsol", "state": "relaxed", "cell": [[4.6291, -2.6920, 0.0000], [4.6291, 2.6920, 0.0000], [-3.0483, 0.0000, 4.3963]], "species": ["Mn", "Mn", "Tl", "Tl", "O", "O", "O", "O", "O", "O"], "frac_coords": [[0.0000, 0.5000, 0.0000], [0.5000, 0.0000, 0.5000], [0.2486, 0.7514, 0.7500], [0.7514, 0.2486, 0.2500], [0.1707, 0.2454, 0.6707], [0.2454, 0.1707, 0.1707], [0.3327, 0.6673, 0.2500], [0.6673, 0.3327, 0.7500], [0.7546, 0.8293, 0.8293], [0.8293, 0.7546, 0.3293]], "mass_density_g_cm3": 9.31, "energy_ev_per_atom": -6.78}

***

[6]
{"formula": "MnV2O4", "functional": "PBEsol", "state": "relaxed", "cell": [[9.1544, 0.0000, 0.0000], [0.0000, 2.8146, 0.0000], [0.0000, 0.0000, 10.4629]], "species": ["Mn", "Mn", "Mn", "Mn", "V", "V", "V", "V", "V", "V", "V", "V", "O", "O", "O", "O", "O", "O", "O", "O", "O", "O", "O", "O", "O", "O", "O", "O"], "frac_coords": [[0.2490, 0.2500, 0.1536], [0.2510, 0.7500, 0.6536], [0.7490, 0.2500, 0.3464], [0.7510, 0.7500, 0.8464], [0.0617, 0.2500, 0.3808], [0.0902, 0.2500, 0.9000], [0.4098, 0.7500, 0.4000], [0.4383, 0.7500, 0.8808], [0.5617, 0.2500, 0.1192], [0.5902, 0.2500, 0.6000], [0.9098, 0.7500, 0.1000], [0.9383, 0.7500, 0.6192], [0.0342, 0.7500, 0.7819], [0.0899, 0.2500, 0.5696], [0.1211, 0.7500, 0.0354], [0.2060, 0.7500, 0.3263], [0.2940, 0.2500, 0.8263], [0.3789, 0.2500, 0.5354], [0.4101, 0.7500, 0.0696], [0.4658, 0.2500, 0.2819], [0.5342, 0.7500, 0.7181], [0.5899, 0.2500, 0.9304], [0.6211, 0.7500, 0.4646], [0.7060, 0.7500, 0.1737], [0.7940, 0.2500, 0.6737], [0.8789, 0.2500, 0.9646], [0.9101, 0.7500, 0.4304], [0.9658, 0.2500, 0.2181]], "mass_density_g_cm3": 5.44, "energy_ev_per_atom": -9.06}

***

[7]
{"formula": "Mn5VO8", "functional": "PBEsol", "state": "relaxed", "cell": [[9.6583, -3.0226, 0.0000], [9.6583, 3.0226, 0.0000], [-0.8559, 0.0000, 5.2165]], "species": ["Mn", "Mn", "Mn", "Mn", "Mn", "Mn", "Mn", "Mn", "Mn", "Mn", "V", "V", "O", "O", "O", "O", "O", "O", "O", "O", "O", "O", "O", "O", "O", "O", "O", "O"], "frac_coords": [[0.0000, 0.0000, 0.0000], [0.1114, 0.6254, 0.7428], [0.2487, 0.7513, 0.5000], [0.3670, 0.3670, 0.2383], [0.3746, 0.8886, 0.2572], [0.5000, 0.5000, 0.0000], [0.6254, 0.1114, 0.7428], [0.6330, 0.6330, 0.7617], [0.7513, 0.2487, 0.5000], [0.8886, 0.3746, 0.2572], [0.2139, 0.2139, 0.8019], [0.7861, 0.7861, 0.1981], [0.0525, 0.5822, 0.3720], [0.0558, 0.0558, 0.3395], [0.1829, 0.1829, 0.0953], [0.2139, 0.6672, 0.1052], [0.3084, 0.3084, 0.8668], [0.3328, 0.7861, 0.8948], [0.4178, 0.9475, 0.6280], [0.4326, 0.4326, 0.6040], [0.5674, 0.5674, 0.3960], [0.5822, 0.0525, 0.3720], [0.6672, 0.2139, 0.1052], [0.6916, 0.6916, 0.1332], [0.7861, 0.3328, 0.8948], [0.8171, 0.8171, 0.9047], [0.9442, 0.9442, 0.6605], [0.9475, 0.4178, 0.6280]], "mass_density_g_cm3": 4.95, "energy_ev_per_atom": -8.76}

***

[8]
{"formula": "Mn2VO4", "functional": "PBEsol", "state": "relaxed", "cell": [[2.9911, 1.7269, 4.9044], [-2.9911, 1.7269, 4.9044], [0.0000, -3.4539, 4.9044]], "species": ["Mn", "Mn", "Mn", "Mn", "V", "V", "O", "O", "O", "O", "O", "O", "O", "O"], "frac_coords": [[0.0000, 0.0000, 0.0000], [0.3718, 0.3718, 0.8754], [0.3718, 0.8754, 0.3718], [0.8754, 0.3718, 0.3718], [0.3723, 0.3723, 0.3723], [0.7433, 0.7433, 0.7433], [0.1285, 0.6155, 0.6155], [0.1349, 0.1349, 0.1349], [0.1428, 0.1428, 0.5961], [0.1428, 0.5961, 0.1428], [0.5961, 0.1428, 0.1428], [0.6155, 0.1285, 0.6155], [0.6155, 0.6155, 0.1285], [0.6171, 0.6171, 0.6171]], "mass_density_g_cm3": 4.91, "energy_ev_per_atom": -8.85}

***

[9]
{"formula": "Mn3V2O8", "functional": "PBEsol", "state": "relaxed", "cell": [[3.0391, -5.8377, 0.0000], [3.0391, 5.8377, 0.0000], [0.0000, 0.0000, 8.3243]], "species": ["Mn", "Mn", "Mn", "Mn", "Mn", "Mn", "V", "V", "V", "V", "O", "O", "O", "O", "O", "O", "O", "O", "O", "O", "O", "O", "O", "O", "O", "O"], "frac_coords": [[0.0000, 0.0000, 0.0000], [0.1122, 0.3878, 0.2500], [0.3878, 0.1122, 0.7500], [0.5000, 0.5000, 0.5000], [0.6122, 0.8878, 0.2500], [0.8878, 0.6122, 0.7500], [0.1206, 0.8794, 0.3821], [0.3794, 0.6206, 0.8821], [0.6206, 0.3794, 0.1179], [0.8794, 0.1206, 0.6179], [0.0007, 0.9993, 0.7524], [0.1152, 0.3488, 0.4968], [0.1512, 0.3848, 0.0032], [0.2479, 0.7521, 0.2734], [0.2521, 0.7479, 0.7734], [0.3488, 0.1152, 0.5032], [0.3848, 0.1512, 0.9968], [0.4993, 0.5007, 0.2524], [0.5007, 0.4993, 0.7476], [0.6152, 0.8488, 0.0032], [0.6512, 0.8848, 0.4968], [0.7479, 0.2521, 0.2266], [0.7521, 0.2479, 0.7266], [0.8488, 0.6152, 0.9968], [0.8848, 0.6512, 0.5032], [0.9993, 0.0007, 0.2476]], "mass_density_g_cm3": 4.44, "energy_ev_per_atom": -8.88}

***

[10]
{"formula": "MnVO3", "functional": "PBEsol", "state": "relaxed", "cell": [[5.2101, 0.0000, 0.0000], [0.0000, 7.3394, 0.0000], [0.0000, 0.0000, 5.0474]], "species": ["Mn", "Mn", "Mn", "Mn", "V", "V", "V", "V", "O", "O", "O", "O", "O", "O", "O", "O", "O", "O", "O", "O"], "frac_coords": [[0.0545, 0.2500, 0.0127], [0.4455, 0.7500, 0.5127], [0.5545, 0.2500, 0.4873], [0.9455, 0.7500, 0.9873], [0.0000, 0.0000, 0.5000], [0.0000, 0.5000, 0.5000], [0.5000, 0.0000, 0.0000], [0.5000, 0.5000, 0.0000], [0.0497, 0.7500, 0.3765], [0.1912, 0.5635, 0.8148], [0.1912, 0.9365, 0.8148], [0.3088, 0.0635, 0.3148], [0.3088, 0.4365, 0.3148], [0.4503, 0.2500, 0.8765], [0.5497, 0.7500, 0.1235], [0.6912, 0.5635, 0.6852], [0.6912, 0.9365, 0.6852], [0.8088, 0.0635, 0.1852], [0.8088, 0.4365, 0.1852], [0.9503, 0.2500, 0.6235]], "mass_density_g_cm3": 5.30, "energy_ev_per_atom": -8.95}

***

[11]
{"formula": "MnVO4", "functional": "PBEsol", "state": "relaxed", "cell": [[3.1440, -3.1778, 0.0000], [3.1440, 3.1778, 0.0000], [0.0000, 0.0000, 2.8071]], "species": ["Mn", "V", "O", "O", "O", "O"], "frac_coords": [[0.0000, 0.0000, 0.0000], [0.5000, 0.5000, 0.5000], [0.1984, 0.1984, 0.5000], [0.3009, 0.6991, 0.0000], [0.6991, 0.3009, 0.0000], [0.8016, 0.8016, 0.5000]], "mass_density_g_cm3": 5.03, "energy_ev_per_atom": -8.78}

***

[12]
{"formula": "YMnW2O8", "functional": "PBEsol", "state": "relaxed", "cell": [[5.0887, 0.0000, 0.0000], [-0.0033, 5.6220, 0.0000], [-0.9633, -0.0115, 9.9080]], "species": ["Y", "Y", "Mn", "Mn", "W", "W", "W", "W", "O", "O", "O", "O", "O", "O", "O", "O", "O", "O", "O", "O", "O", "O", "O", "O"], "frac_coords": [[0.2490, 0.2899, 0.2497], [0.7510, 0.7101, 0.7503], [0.2503, 0.3131, 0.7498], [0.7497, 0.6869, 0.2502], [0.2471, 0.8215, 0.0077], [0.2529, 0.8216, 0.4926], [0.7471, 0.1784, 0.5074], [0.7529, 0.1785, 0.9923], [0.0278, 0.0735, 0.8822], [0.0497, 0.1102, 0.4068], [0.0999, 0.6221, 0.3606], [0.1191, 0.6008, 0.8802], [0.3817, 0.6023, 0.6201], [0.3994, 0.6225, 0.1397], [0.4505, 0.1106, 0.0932], [0.4716, 0.0752, 0.6174], [0.5284, 0.9248, 0.3826], [0.5495, 0.8894, 0.9068], [0.6006, 0.3775, 0.8603], [0.6183, 0.3977, 0.3799], [0.8809, 0.3992, 0.1198], [0.9001, 0.3779, 0.6394], [0.9503, 0.8898, 0.5932], [0.9722, 0.9265, 0.1178]], "mass_density_g_cm3": 7.49, "e_above_lowest_polymorph_kj_per_mol_fu": 0, "energy_ev_per_atom": -9.49}

***

[13]
{"formula": "YMnW2O8", "functional": "PBEsol", "state": "relaxed", "cell": [[5.0947, 0.0000, 0.0000], [-0.2425, 5.7955, 0.0000], [-2.5352, -2.2270, 5.0295]], "species": ["Y", "Mn", "W", "W", "O", "O", "O", "O", "O", "O", "O", "O"], "frac_coords": [[0.0000, 0.0000, 0.0000], [0.5092, 0.6135, 0.0506], [0.2093, 0.6334, 0.4706], [0.7057, 0.2939, 0.4978], [0.3824, 0.4487, 0.2469], [0.4646, 0.9770, 0.2338], [0.4830, 0.4319, 0.6820], [0.4905, 0.9019, 0.7340], [0.9017, 0.2941, 0.2816], [0.9512, 0.1814, 0.7275], [0.9525, 0.7457, 0.2212], [0.9873, 0.6394, 0.6792]], "mass_density_g_cm3": 7.15, "e_above_lowest_polymorph_kj_per_mol_fu": 53, "energy_ev_per_atom": -9.45}

***

[14]
{"formula": "MnZn2WO6", "functional": "PBEsol", "state": "relaxed", "cell": [[2.5966, 1.4991, 4.6348], [-2.5966, 1.4991, 4.6348], [0.0000, -2.9983, 4.6348]], "species": ["Mn", "Zn", "Zn", "W", "O", "O", "O", "O", "O", "O"], "frac_coords": [[0.0000, 0.0000, 0.0000], [0.2409, 0.2409, 0.2409], [0.7109, 0.7109, 0.7109], [0.4986, 0.4986, 0.4986], [0.1307, 0.7568, 0.4084], [0.2975, 0.6092, 0.8795], [0.4084, 0.1307, 0.7568], [0.6092, 0.8795, 0.2975], [0.7568, 0.4084, 0.1307], [0.8795, 0.2975, 0.6092]], "mass_density_g_cm3": 7.14, "e_above_lowest_polymorph_kj_per_mol_fu": 0, "energy_ev_per_atom": -7.49}

***

[15]
{"formula": "MnZn2WO6", "functional": "PBEsol", "state": "relaxed", "cell": [[5.1890, 0.0000, 0.0000], [0.0000, 5.2010, 0.0000], [-5.0227, 0.0000, 7.8043]], "species": ["Mn", "Mn", "Zn", "Zn", "Zn", "Zn", "W", "W", "O", "O", "O", "O", "O", "O", "O", "O", "O", "O", "O", "O"], "frac_coords": [[0.0000, 0.0000, 0.0000], [0.0000, 0.5000, 0.5000], [0.2289, 0.0276, 0.7410], [0.2289, 0.4724, 0.2410], [0.7711, 0.5276, 0.7590], [0.7711, 0.9724, 0.2590], [0.5000, 0.0000, 0.5000], [0.5000, 0.5000, 0.0000], [0.1511, 0.0971, 0.2686], [0.1511, 0.4029, 0.7686], [0.2327, 0.6680, 0.0534], [0.2327, 0.8320, 0.5534], [0.4314, 0.1864, 0.0841], [0.4314, 0.3136, 0.5841], [0.5686, 0.6864, 0.4159], [0.5686, 0.8136, 0.9159], [0.7673, 0.1680, 0.4466], [0.7673, 0.3320, 0.9466], [0.8489, 0.5971, 0.2314], [0.8489, 0.9029, 0.7314]], "mass_density_g_cm3": 7.34, "e_above_lowest_polymorph_kj_per_mol_fu": 27, "energy_ev_per_atom": -7.46}

***

[16]
{"formula": "YMn2O5", "functional": "PBEsol", "state": "relaxed", "cell": [[7.2003, 0.0000, 0.0000], [0.0000, 8.4432, 0.0000], [0.0000, 0.0000, 5.6528]], "species": ["Y", "Y", "Y", "Y", "Mn", "Mn", "Mn", "Mn", "Mn", "Mn", "Mn", "Mn", "O", "O", "O", "O", "O", "O", "O", "O", "O", "O", "O", "O", "O", "O", "O", "O", "O", "O", "O", "O"], "frac_coords": [[0.1374, 0.1718, 0.0000], [0.3626, 0.6718, 0.0000], [0.6374, 0.3282, 0.0000], [0.8626, 0.8282, 0.0000], [0.0000, 0.5000, 0.2537], [0.0000, 0.5000, 0.7463], [0.0882, 0.8497, 0.5000], [0.4118, 0.3497, 0.5000], [0.5000, 0.0000, 0.2537], [0.5000, 0.0000, 0.7463], [0.5882, 0.6503, 0.5000], [0.9118, 0.1503, 0.5000], [0.0000, 0.0000, 0.2712], [0.0000, 0.0000, 0.7288], [0.1052, 0.7075, 0.2439], [0.1052, 0.7075, 0.7561], [0.1548, 0.4343, 0.5000], [0.1650, 0.4443, 0.0000], [0.3350, 0.9443, 0.0000], [0.3452, 0.9343, 0.5000], [0.3948, 0.2075, 0.2439], [0.3948, 0.2075, 0.7561], [0.5000, 0.5000, 0.2712], [0.5000, 0.5000, 0.7288], [0.6052, 0.7925, 0.2439], [0.6052, 0.7925, 0.7561], [0.6548, 0.0657, 0.5000], [0.6650, 0.0557, 0.0000], [0.8350, 0.5557, 0.0000], [0.8452, 0.5657, 0.5000], [0.8948, 0.2925, 0.2439], [0.8948, 0.2925, 0.7561]], "mass_density_g_cm3": 5.39, "energy_ev_per_atom": -8.93}